# 1
Compound: CaTaTeO5
Source: Alexandria
Functional: PBE
Structure: relaxed Values from VASP.

Cell and atoms, written as Quantum ESPRESSO input:
```
&SYSTEM
  ibrav = 0, nat = 16, ntyp = 4
/
ATOMIC_SPECIES
Ca 40.08 Ca.upf
Ta 180.95 Ta.upf
Te 127.60 Te.upf
O 16.00 O.upf
ATOMIC_POSITIONS crystal
Ca 0.337 0.663 0.250
Ca 0.663 0.337 0.750
Ta 0.000 0.000 0.500
Ta 0.000 0.000 0.000
Te 0.704 0.296 0.250
Te 0.296 0.704 0.750
O 0.975 0.025 0.250
O 0.025 0.975 0.750
O 0.905 0.290 0.045
O 0.095 0.710 0.955
O 0.710 0.095 0.455
O 0.290 0.905 0.545
O 0.715 0.618 0.259
O 0.285 0.382 0.741
O 0.382 0.285 0.241
O 0.618 0.715 0.759
CELL_PARAMETERS angstrom
6.339 0.268 -0.554
-1.594 6.141 -0.554
-2.676 -3.614 6.429
```

Output
* total DFT energy (no corrections): -7.5188 eV/atom
* uncorrected formation energy: -2.2954 eV per atom
* N(E_F): 1.718 states/eV per cell

***

# 2
Compound: CaTaTiO6
Source: Alexandria
Functional: PBE
Structure: relaxed Values from VASP.

Cell and atoms, written as Quantum ESPRESSO input:
```
&SYSTEM
  ibrav = 0, nat = 18, ntyp = 4
/
ATOMIC_SPECIES
Ca 40.08 Ca.upf
Ta 180.95 Ta.upf
Ti 47.87 Ti.upf
O 16.00 O.upf
ATOMIC_POSITIONS crystal
Ca 0.500 0.500 0.497
Ca 0.000 0.000 0.997
Ta 0.500 0.500 0.837
Ta 0.000 0.000 0.337
Ti 0.500 0.500 0.161
Ti 0.000 0.000 0.661
O 0.176 0.824 0.502
O 0.824 0.176 0.502
O 0.324 0.324 0.002
O 0.676 0.676 0.002
O 0.218 0.782 0.197
O 0.782 0.218 0.197
O 0.282 0.282 0.697
O 0.718 0.718 0.697
O 0.785 0.215 0.804
O 0.215 0.785 0.804
O 0.715 0.715 0.304
O 0.285 0.285 0.304
CELL_PARAMETERS angstrom
4.894 0.000 0.000
0.000 4.894 0.000
0.000 0.000 9.567
```

Output
* total DFT energy (no corrections): -8.4521 eV/atom
* uncorrected formation energy: -2.7301 eV per atom
* N(E_F): 6.520 states/eV per cell

***

# 3
Compound: CaTaTiO2
Source: Alexandria
Functional: PBE
Structure: relaxed Values from VASP.

Cell and atoms, written as Quantum ESPRESSO input:
```
&SYSTEM
  ibrav = 0, nat = 5, ntyp = 4
/
ATOMIC_SPECIES
Ca 40.08 Ca.upf
Ti 47.87 Ti.upf
O 16.00 O.upf
Ta 180.95 Ta.upf
ATOMIC_POSITIONS crystal
Ca 0.000 0.000 0.000
Ti 0.000 0.500 0.000
O 0.000 0.000 0.500
O 0.500 0.000 0.000
Ta 0.500 0.500 0.500
CELL_PARAMETERS angstrom
-2.615 1.134 3.054
-3.933 -1.380 -2.856
0.193 -3.855 1.597
```

Output
* total DFT energy (no corrections): -5.7862 eV/atom
* uncorrected formation energy: 0.5469 eV per atom
* N(E_F): 5.660 states/eV per cell